[1]
DFT (GGA-PBE) results for an optimized crystal structure of La2MgHgRh.

Summary:
mass density = 6.57 g cm⁻³
total DFT energy (no corrections) = -4.260 eV/atom

Cell lengths 5.4670, 5.4670, 5.1182 Å; angles 90.00, 90.00, 90.00 degrees
Last column: nearest neighbours and their distance in Å.
Space group P4/mmm (No. 123)
One atom of each set of equivalent atoms:
La: 0.0000 0.5000 0.0000 (multiplicity 2)  2 Rh 2.73
Mg: 0.0000 0.0000 0.5000 (multiplicity 1)  2 Rh 2.56
Hg: 0.5000 0.5000 0.5000 (multiplicity 1)  8 La 3.74, 4 Mg 3.87
Rh: 0.0000 0.0000 0.0000 (multiplicity 1)  2 Mg 2.56, 4 La 2.73

[2]
DFT (GGA-PBE) results for an optimized crystal structure of LaMg2HgRu.

Summary:
mass density = 5.92 g cm⁻³
total DFT energy (no corrections) = -3.654 eV/atom

Cell lengths 5.1511, 5.1511, 5.1682 Å; angles 90.00, 90.00, 90.00 degrees
Last column: nearest neighbours and their distance in Å.
Space group P4/mmm (No. 123)
One atom of each set of equivalent atoms:
La: 0.0000 0.0000 0.0000 (multiplicity 1)  2 Ru 2.58
Mg: 0.0000 0.5000 0.5000 (multiplicity 2)  2 Ru 2.58
Hg: 0.5000 0.5000 0.0000 (multiplicity 1)  4 La 3.64, 8 Mg 3.65
Ru: 0.0000 0.0000 0.5000 (multiplicity 1)  4 Mg 2.58, 2 La 2.58

[3]
DFT (GGA-PBE) results for an optimized crystal structure of LaMgSc2Hg4.

Summary:
mass density = 9.06 g cm⁻³
total DFT energy (no corrections) = -2.933 eV/atom

Cell lengths 4.9380, 4.9380, 27.4853 Å; angles 90.00, 90.00, 120.00 degrees
Last column: nearest neighbours and their distance in Å.
Space group R-3m (No. 166, hexagonal axes)
One atom of each set of equivalent atoms:
La: 0.0000 0.0000 0.0000 (multiplicity 3)  8 Hg 3.26-3.48
Mg: 0.0000 0.0000 0.5000 (multiplicity 3)  8 Hg 3.00-3.05
Sc: 0.0000 0.0000 0.2384 (multiplicity 6)  7 Hg 2.98-3.07
Hg: 0.0000 0.0000 0.1267 (multiplicity 6)  4 Sc 2.98-3.07, 3 Mg 3.06
Hg: 0.0000 0.0000 0.3907 (multiplicity 6)  1 Mg 3.00, 3 Sc 3.03, 3 La 3.26

[4]
DFT (GGA-PBE) results for an optimized crystal structure of LaMg2ScHg2.

Summary:
mass density = 7.16 g cm⁻³
total DFT energy (no corrections) = -2.830 eV/atom

Cell lengths 4.9567, 4.9567, 6.9078 Å; angles 90.00, 90.00, 120.00 degrees
Last column: nearest neighbours and their distance in Å.
Space group P-3m1 (No. 164)
One atom of each set of equivalent atoms:
La: 0.0000 0.0000 0.0000 (multiplicity 1)  6 Hg 3.41, 2 Sc 3.45, 6 Mg 3.48
Mg: 0.3333 0.6667 0.7144 (multiplicity 2)  4 Hg 2.86-3.08
Sc: 0.0000 0.0000 0.5000 (multiplicity 1)  6 Mg 3.22, 6 Hg 3.28, 2 La 3.45
Hg: 0.3333 0.6667 0.2679 (multiplicity 2)  4 Mg 2.86-3.08

We obtain calculated volume values of 153; 137; 580; 147 Å³/cell for the records listed above, in that order.